An optimized crystal structure of InRe2Ru. Source: Alexandria via LeMat-Bulk, functional GGA-PBEsol.

Structure (POSCAR):
```
InRe2Ru
1.0
1.461 -2.355 0.000
1.461 2.355 0.000
0.000 0.000 9.091
In Re Ru
1 2 1
direct
0.000 0.000 0.000
0.000 0.000 0.491
0.500 0.500 0.730
0.500 0.500 0.254
```

calculated density: 15.62 g/cm3
volume: 63 Å³ per cell
E_tot: -37.87 eV/f.u.

***

An optimized crystal structure of InReS3. Source: Alexandria via LeMat-Bulk, functional GGA-PBEsol.

Structure (POSCAR):
```
InReS3
1.0
4.646 0.000 0.000
0.000 4.646 0.000
0.000 0.000 4.646
In Re S
1 1 3
direct
0.000 0.000 0.000
0.500 0.500 0.500
0.000 0.500 0.500
0.500 0.000 0.500
0.500 0.500 0.000
```

calculated density: 6.58 g/cm3
formation energy from raw total energies: 0.030 eV/atom
volume: 100 Å³ per cell

***

An optimized crystal structure of In3ReS. Source: Alexandria via LeMat-Bulk, functional GGA-PBEsol.

Structure (POSCAR):
```
In3ReS
1.0
4.954 0.000 0.000
0.000 4.954 0.000
0.000 0.000 4.954
In Re S
3 1 1
direct
0.000 0.000 0.500
0.000 0.500 0.000
0.500 0.000 0.000
0.500 0.500 0.500
0.000 0.000 0.000
```

calculated density: 7.68 g/cm3
formation energy from raw total energies: 1.337 eV/atom
polymorph energy (0 for the lowest one): 0.538 eV per atom
volume: 122 Å³ per cell

***

An optimized crystal structure of In3ReS. Source: Alexandria via LeMat-Bulk, functional GGA-PBEsol.

Structure (POSCAR):
```
In3ReS
1.0
5.157 0.000 0.000
0.000 5.157 0.000
0.000 0.000 5.157
In Re S
3 1 1
direct
0.000 0.000 0.500
0.000 0.500 0.000
0.500 0.000 0.000
0.000 0.000 0.000
0.500 0.500 0.500
```

calculated density: 6.81 g/cm3
formation energy from raw total energies: 0.799 eV/atom
polymorph energy (0 for the lowest one): 0.000 eV per atom
volume: 137 Å³ per cell

***

An optimized crystal structure of InRe2SbS. Source: Alexandria via LeMat-Bulk, functional GGA-PBEsol.

Structure (POSCAR):
```
InRe2SbS
1.0
4.374 0.000 0.000
0.000 4.374 0.000
0.000 0.000 5.236
In Re Sb S
1 2 1 1
direct
0.000 0.000 0.000
0.000 0.500 0.500
0.500 0.000 0.500
0.500 0.500 0.000
0.000 0.000 0.500
```

calculated density: 10.63 g/cm3
formation energy from raw total energies: 1.116 eV/atom
volume: 100 Å³ per cell

***

An optimized crystal structure of InReSb2. Source: Alexandria via LeMat-Bulk, functional GGA-PBEsol.

Structure (POSCAR):
```
InReSb2
1.0
2.809 -1.621 0.000
2.809 1.621 0.000
-1.816 0.000 9.988
In Re Sb
1 1 2
direct
0.000 0.000 0.000
0.500 0.500 0.500
0.231 0.231 0.698
0.769 0.769 0.302
```

calculated density: 9.94 g/cm3
formation energy from raw total energies: 0.245 eV/atom
volume: 91 Å³ per cell

***

Repeat the third record exactly.
An optimized crystal structure of In3ReS. Source: Alexandria via LeMat-Bulk, functional GGA-PBEsol.

Structure (POSCAR):
```
In3ReS
1.0
4.954 0.000 0.000
0.000 4.954 0.000
0.000 0.000 4.954
In Re S
3 1 1
direct
0.000 0.000 0.500
0.000 0.500 0.000
0.500 0.000 0.000
0.500 0.500 0.500
0.000 0.000 0.000
```

calculated density: 7.68 g/cm3
formation energy from raw total energies: 1.337 eV/atom
polymorph energy (0 for the lowest one): 0.538 eV per atom
volume: 122 Å³ per cell